(1)
VASP calculation (PBE) on a geometry-optimized BeCrAu2 structure.

The space group is R-3m (No. 166, hexagonal axes) and the conventional cell measures 3.0197, 3.0197 and 23.6513 Å, with angles of 90.00, 90.00 and 120.00 degrees. The inequivalent atoms are Be at (0.0000, 0.0000, 0.0000), Cr at (0.0000, 0.0000, 0.5000) and Au at (0.0000, 0.0000, 0.2602).

The calculation puts the energy above the lowest structure with this stoichiometry at 0.78 eV/f.u.

=====

(2)
VASP calculation (PBE) on a geometry-optimized BeCrAu3 structure.

The space group is Pm-3m (No. 221) and the conventional cell measures 4.440, 4.440 and 4.440 Å, with angles of 90.00, 90.00 and 90.00 degrees. The inequivalent atoms are Be at (0.000, 0.000, 0.000), Cr at (0.500, 0.500, 0.500) and Au at (0.000, 0.000, 0.500).

The calculation puts the energy above the lowest structure with this stoichiometry at 0.00 eV/f.u.

=====

(3)
VASP calculation (PBE) on a geometry-optimized BeCrAu2 structure.

The space group is Pm (No. 6) and the conventional cell measures 3.116, 3.771 and 5.500 Å, with angles of 90.00, 106.37 and 90.00 degrees. The inequivalent atoms are Be at (0.000, 0.000, 0.000), Cr at (0.592, 0.500, 0.186), Au at (0.220, 0.000, 0.444) and Au at (0.873, 0.500, 0.748).

The calculation puts the energy above the lowest structure with this stoichiometry at 0.22 eV/f.u.

=====

(4)
VASP calculation (PBE) on a geometry-optimized BeCrAu2 structure.

The space group is R3m (No. 160, hexagonal axes) and the conventional cell measures 2.9387, 2.9387 and 24.7424 Å, with angles of 90.00, 90.00 and 120.00 degrees. The inequivalent atoms are Be at (0.0000, 0.0000, 0.0000), Cr at (0.0000, 0.0000, 0.2604), Au at (0.0000, 0.0000, 0.5038) and Au at (0.0000, 0.0000, 0.7357).

The calculation puts the energy above the lowest structure with this stoichiometry at 0.86 eV/f.u.

=====

(5)
VASP calculation (PBE) on a geometry-optimized Be3CrAu structure.

The space group is Pm-3m (No. 221) and the conventional cell measures 4.055, 4.055 and 4.055 Å, with angles of 90.00, 90.00 and 90.00 degrees. The inequivalent atoms are Be at (0.000, 0.000, 0.500), Cr at (0.000, 0.000, 0.000) and Au at (0.500, 0.500, 0.500).

The calculation puts the energy above the lowest structure with this stoichiometry at 2.42 eV/f.u.

=====

(6)
VASP calculation (PBE) on a geometry-optimized Be2CrAu structure.

The space group is F-43m (No. 216) and the conventional cell measures 5.858, 5.858 and 5.858 Å, with angles of 90.00, 90.00 and 90.00 degrees. The inequivalent atoms are Be at (0.000, 0.000, 0.000), Be at (0.250, 0.250, 0.250), Cr at (0.250, 0.250, 0.750) and Au at (0.000, 0.000, 0.500).

The calculation puts the uncorrected energy at -4.861 eV/atom.

=====

(7)
VASP calculation (PBE) on a geometry-optimized BeCrAu3 structure.

The space group is Pm-3m (No. 221) and the conventional cell measures 4.814, 4.814 and 4.814 Å, with angles of 90.00, 90.00 and 90.00 degrees. The inequivalent atoms are Be at (0.000, 0.000, 0.000), Cr at (0.500, 0.500, 0.500) and Au at (0.000, 0.500, 0.500).

The calculation puts the energy above the lowest structure with this stoichiometry at 5.86 eV/f.u.

=====

(8)
VASP calculation (PBE) on a geometry-optimized Be2CrAu structure.

The space group is I-42d (No. 122) and the conventional cell measures 6.177, 6.177 and 5.232 Å, with angles of 90.00, 90.00 and 90.00 degrees. The inequivalent atoms are Be at (0.250, 0.250, 0.375), Cr at (0.000, 0.000, 0.000) and Au at (0.000, 0.000, 0.500).

The calculation puts the uncorrected energy at -4.550 eV/atom.

=====

(9)
VASP calculation (PBE) on a geometry-optimized Be2CrAu structure.

The space group is Pmmm (No. 47) and the conventional cell measures 2.618, 3.487 and 5.240 Å, with angles of 90.00, 90.00 and 90.00 degrees. The inequivalent atoms are Be at (0.000, 0.000, 0.196), Cr at (0.500, 0.500, 0.000) and Au at (0.000, 0.500, 0.500).

The calculation puts the uncorrected energy at -4.948 eV/atom.

=====

(10)
VASP calculation (PBE) on a geometry-optimized Be2CrAu structure.

The space group is Cm (No. 8) and the conventional cell measures 9.056, 3.032 and 3.944 Å, with angles of 90.00, 115.72 and 90.00 degrees. The inequivalent atoms are Be at (0.000, 0.000, 0.000), Be at (0.212, 0.500, 0.212), Cr at (0.475, 0.000, 0.475) and Au at (0.248, 0.000, 0.748).

The calculation puts the uncorrected energy at -4.933 eV/atom.

=====

(11)
VASP calculation (PBE) on a geometry-optimized BeCrAu structure.

The space group is P3m1 (No. 156) and the conventional cell measures 2.7132, 2.7132 and 6.2379 Å, with angles of 90.00, 90.00 and 120.00 degrees. The inequivalent atoms are Be at (0.0000, 0.0000, 0.0000), Cr at (0.6667, 0.3333, 0.2999) and Au at (0.3333, 0.6667, 0.6752).

The calculation puts the energy above the lowest structure with this stoichiometry at 0.78 eV/f.u.

=====

(12)
VASP calculation (PBE) on a geometry-optimized Be2CrAu structure.

The space group is P4mm (No. 99) and the conventional cell measures 2.742, 2.742 and 6.154 Å, with angles of 90.00, 90.00 and 90.00 degrees. The inequivalent atoms are Be at (0.000, 0.000, 0.000), Be at (0.500, 0.500, 0.180), Cr at (0.000, 0.000, 0.409) and Au at (0.500, 0.500, 0.743).

The calculation puts the uncorrected energy at -4.942 eV/atom.

=====

| no. | M_tot (μB/atom) |
| --- | --- |
| 1 | 0.95 |
| 2 | 0.84 |
| 3 | 0.92 |
| 4 | 0.89 |
| 5 | 0.19 |
| 6 | 0.69 |
| 7 | 0.00 |
| 8 | 0.00 |
| 9 | 0.00 |
| 10 | 0.76 |
| 11 | 0.23 |
| 12 | 0.33 |